Entry 1:
Compound: LaMnW4
Source: the Alexandria database
Functional: PBE
Structure: optimized geometry

Unit cell a=5.4799 b=5.4799 c=5.4799 alpha=60.00 beta=60.00 gamma=60.00
Each line ends with the local moment (μB).
Positions (direct):
W1 0.3752 0.3752 0.8744  -0.12
W2 0.8744 0.3752 0.3752  -0.12
W3 0.3752 0.3752 0.3752  -0.12
W4 0.3752 0.8744 0.3752  -0.12
La1 0.7500 0.7500 0.7500  -0.05
Mn1 0.0000 0.0000 0.0000  3.68

formation energy	0.60	eV/atom

Entry 2:
Compound: LaMnW
Source: the Alexandria database
Functional: PBE
Structure: optimized geometry

Unit cell a=7.5212 b=7.3002 c=2.9553 alpha=82.73 beta=74.33 gamma=22.94
Each line ends with the local moment (μB).
Positions (direct):
La1 0.9960 0.9960 0.0040  -0.06
Mn1 0.3144 0.3144 0.6856  2.14
W1 0.6895 0.6895 0.3105  -0.26

formation energy	0.67	eV/atom

Entry 3:
Compound: LaMnW
Source: the Alexandria database
Functional: PBE
Structure: optimized geometry

Unit cell a=3.1310 b=3.1310 c=7.0754 alpha=90.00 beta=90.00 gamma=120.00
Each line ends with the local moment (μB).
Positions (direct):
La1 0.0000 0.0000 0.0048  -0.03
W1 0.3333 0.6667 0.6106  -0.37
Mn1 0.6667 0.3333 0.3846  1.60

formation energy	0.75	eV/atom

Entry 4:
Compound: LaY2Mn
Source: the Alexandria database
Functional: PBE
Structure: optimized geometry

Unit cell a=6.6525 b=6.6525 c=5.4766 alpha=65.69 beta=65.69 gamma=32.14
Each line ends with the local moment (μB).
Positions (direct):
Y1 0.5403 0.5403 0.4596  -0.13
Y2 0.9597 0.9597 0.0404  -0.13
Mn1 0.2500 0.2500 0.2500  3.50
La1 0.7500 0.7500 0.7500  -0.20

formation energy	0.18	eV/atom

Entry 5:
Compound: LaY2Mn
Source: the Alexandria database
Functional: PBE
Structure: optimized geometry

Unit cell a=5.2224 b=5.2224 c=5.2224 alpha=60.00 beta=60.00 gamma=60.00
Positions (direct):
Y1 0.2500 0.2500 0.2500
Y2 0.7500 0.7500 0.7500
La1 0.5000 0.5000 0.5000
Mn1 0.0000 0.0000 0.0000

formation energy	0.56	eV/atom

Entry 6:
Compound: LaY2Mn
Source: the Alexandria database
Functional: PBE
Structure: optimized geometry

Unit cell a=3.6317 b=3.6317 c=8.8188 alpha=90.00 beta=90.00 gamma=90.02
Each line ends with the local moment (μB).
Positions (direct):
La1 0.0000 0.0000 0.5449  -0.07
Y1 0.5000 0.5000 0.2411  0.28
Y2 0.0000 0.0000 0.9545  -0.08
Mn1 0.5000 0.5000 0.7595  3.52

formation energy	0.16	eV/atom

Entry 7:
Compound: LaYMn
Source: the Alexandria database
Functional: PBE
Structure: optimized geometry

Unit cell a=4.9631 b=4.9631 c=4.9631 alpha=60.00 beta=60.00 gamma=60.00
Each line ends with the local moment (μB).
Positions (direct):
La1 0.5000 0.5000 0.5000  -0.30
Mn1 0.2500 0.2500 0.2500  2.75
Y1 0.0000 0.0000 0.0000  -0.38

formation energy	0.40	eV/atom

Entry 8:
Compound: LaY2Mn
Source: the Alexandria database
Functional: PBE
Structure: optimized geometry

Unit cell a=5.0601 b=3.5798 c=6.6897 alpha=73.67 beta=90.00 gamma=90.00
Each line ends with the local moment (μB).
Positions (direct):
Mn1 0.5000 0.7500 0.7500  3.74
Y1 0.0000 0.5771 0.5261  -0.15
Y2 0.0000 0.9229 0.9739  -0.15
La1 0.5000 0.2500 0.2500  -0.07

formation energy	0.26	eV/atom

Entry 9:
Compound: LaY2Mn
Source: the Alexandria database
Functional: PBE
Structure: optimized geometry

Unit cell a=6.6250 b=6.6250 c=3.4717 alpha=76.15 beta=76.15 gamma=119.47
Each line ends with the local moment (μB).
Positions (direct):
Y1 0.5000 0.5000 0.0000  -0.20
Y2 0.0000 0.0000 0.0000  -0.20
Mn1 0.0000 0.5000 0.5000  3.87
La1 0.5000 0.0000 0.5000  -0.19

formation energy	0.37	eV/atom

Entry 10:
Compound: LaY2Mn
Source: the Alexandria database
Functional: PBE
Structure: optimized geometry

Unit cell a=3.5173 b=3.5173 c=9.2842 alpha=90.00 beta=90.00 gamma=90.00
Each line ends with the local moment (μB).
Positions (direct):
Mn1 0.5000 0.5000 0.0000  3.31
La1 0.5000 0.5000 0.5000  0.05
Y1 0.0000 0.0000 0.8108  -0.19
Y2 0.0000 0.0000 0.1892  -0.19

formation energy	0.13	eV/atom

Entry 11:
Compound: LaY2Mn
Source: the Alexandria database
Functional: PBE
Structure: optimized geometry

Unit cell a=6.4394 b=6.4394 c=6.4394 alpha=146.14 beta=129.70 gamma=62.03
Each line ends with the local moment (μB).
Positions (direct):
La1 0.4559 0.4559 0.0000  -0.14
Mn1 0.2498 0.7498 0.5000  3.23
Y1 0.0435 0.0435 0.0000  -0.16
Y2 0.7507 0.2507 0.5000  -0.16

formation energy	0.18	eV/atom

Entry 12:
Compound: LaYMn4
Source: the Alexandria database
Functional: PBE
Structure: optimized geometry

Unit cell a=5.2398 b=5.2398 c=5.2398 alpha=60.00 beta=60.00 gamma=60.00
Each line ends with the local moment (μB).
Positions (direct):
Mn1 0.3764 0.3764 0.8709  1.99
Mn2 0.8709 0.3764 0.3764  1.99
Mn3 0.3764 0.8709 0.3764  1.99
Mn4 0.3764 0.3764 0.3764  1.99
La1 0.0000 0.0000 0.0000  -0.21
Y1 0.7500 0.7500 0.7500  -0.31

formation energy	0.23	eV/atom

Entry 13:
Compound: LaYMn
Source: the Alexandria database
Functional: PBE
Structure: optimized geometry

Unit cell a=5.1577 b=5.1577 c=3.6224 alpha=90.00 beta=90.00 gamma=120.00
Each line ends with the local moment (μB).
Positions (direct):
La1 0.0000 0.0000 0.0095  -0.22
Mn1 0.6667 0.3333 0.4635  3.60
Y1 0.3333 0.6667 0.5270  -0.27

formation energy	0.32	eV/atom

Entry 14:
Compound: LaY2Mn
Source: the Alexandria database
Functional: PBE
Structure: optimized geometry

Unit cell a=10.9539 b=10.9539 c=10.9539 alpha=18.57 beta=18.57 gamma=18.57
Each line ends with the local moment (μB).
Positions (direct):
Mn1 0.7500 0.7500 0.7500  3.51
Y1 0.0140 0.0140 0.0140  -0.15
Y2 0.4860 0.4860 0.4860  -0.15
La1 0.2500 0.2500 0.2500  0.07

formation energy	0.27	eV/atom

Entry 15:
Compound: LaY2Mn
Source: the Alexandria database
Functional: PBE
Structure: optimized geometry

Unit cell a=5.9484 b=5.9484 c=5.9484 alpha=131.74 beta=131.74 gamma=70.64
Each line ends with the local moment (μB).
Positions (direct):
Mn1 0.7500 0.2500 0.5000  -3.88
Y1 0.0000 0.0000 0.0000  0.21
Y2 0.2500 0.7500 0.5000  0.18
La1 0.5000 0.5000 0.0000  0.15

formation energy	0.27	eV/atom

Entry 16:
Compound: LaY2Mn
Source: the Alexandria database
Functional: PBE
Structure: optimized geometry

Unit cell a=4.8211 b=4.7897 c=4.9917 alpha=90.00 beta=90.00 gamma=90.00
Each line ends with the local moment (μB).
Positions (direct):
Mn1 0.0000 0.5000 0.5000  3.81
Y1 0.0000 0.0000 0.0000  -0.24
Y2 0.5000 0.5000 0.0000  -0.24
La1 0.5000 0.0000 0.5000  -0.19

formation energy	0.26	eV/atom

Entry 17:
Compound: LaY2Mn
Source: the Alexandria database
Functional: PBE
Structure: optimized geometry

Unit cell a=5.7644 b=5.7644 c=3.5947 alpha=90.00 beta=90.00 gamma=106.12
Each line ends with the local moment (μB).
Positions (direct):
Y1 0.0000 0.0000 0.0000  -0.15
Y2 0.5000 0.5000 0.0000  -0.15
La1 0.5000 0.0000 0.5000  -0.07
Mn1 0.0000 0.5000 0.5000  3.89

formation energy	0.31	eV/atom

Entry 18:
Compound: LaYMn
Source: the Alexandria database
Functional: PBE
Structure: optimized geometry

Unit cell a=7.0382 b=7.0382 c=7.0382 alpha=150.49 beta=150.49 gamma=42.22
Each line ends with the local moment (μB).
Positions (direct):
Mn1 0.3283 0.3283 0.0000  3.33
La1 0.9722 0.9722 0.0000  -0.16
Y1 0.6995 0.6995 0.0000  -0.18

formation energy	0.20	eV/atom

Entry 19:
Compound: LaY2Mn
Source: the Alexandria database
Functional: PBE
Structure: optimized geometry

Unit cell a=6.0610 b=6.0610 c=6.0610 alpha=133.46 beta=133.46 gamma=67.93
Each line ends with the local moment (μB).
Positions (direct):
Y1 0.5000 0.5000 0.0000  -0.24
Y2 0.0000 0.0000 0.0000  -0.24
Mn1 0.7500 0.2500 0.5000  3.83
La1 0.2500 0.7500 0.5000  -0.20

formation energy	0.29	eV/atom

Entry 20:
Compound: La4YMn
Source: the Alexandria database
Functional: PBE
Structure: optimized geometry

Unit cell a=6.6055 b=6.6055 c=6.6055 alpha=60.00 beta=60.00 gamma=60.00
Each line ends with the local moment (μB).
Positions (direct):
La1 0.3760 0.8721 0.3760  0.08
La2 0.8721 0.3760 0.3760  0.08
La3 0.3760 0.3760 0.8721  0.08
La4 0.3760 0.3760 0.3760  0.08
Y1 0.0000 0.0000 0.0000  0.08
Mn1 0.7500 0.7500 0.7500  -4.24

formation energy	0.52	eV/atom

Entry 21:
Compound: LaYZr2Mn
Source: the Alexandria database
Functional: PBE
Structure: optimized geometry

Unit cell a=5.2667 b=4.6114 c=5.2667 alpha=90.00 beta=90.00 gamma=90.00
Each line ends with the local moment (μB).
Positions (direct):
Zr1 0.0000 0.0000 0.5000  -0.13
Zr2 0.5000 0.0000 0.0000  -0.28
La1 0.0000 0.0000 0.0000  -0.06
Mn1 0.0000 0.5000 0.0000  1.90
Y1 0.5000 0.5000 0.5000  -0.11

formation energy	1.00	eV/atom

Entry 22:
Compound: LaMn3Zn
Source: the Alexandria database
Functional: PBE
Structure: optimized geometry

Unit cell a=4.5125 b=4.5125 c=4.5125 alpha=90.00 beta=90.00 gamma=90.00
Each line ends with the local moment (μB).
Positions (direct):
Mn1 0.0000 0.5000 0.0000  -0.46
Mn2 0.5000 0.0000 0.0000  -0.33
Mn3 0.0000 0.0000 0.5000  -0.36
La1 0.5000 0.5000 0.5000  0.07
Zn1 0.0000 0.0000 0.0000  -0.05

formation energy	1.26	eV/atom

Entry 23:
Compound: LaMn2Zn
Source: the Alexandria database
Functional: PBE
Structure: optimized geometry

Unit cell a=3.1551 b=3.1551 c=7.3872 alpha=90.00 beta=90.00 gamma=90.00
Each line ends with the local moment (μB).
Positions (direct):
La1 0.5000 0.5000 0.7575  0.20
Mn1 0.5000 0.5000 0.2306  3.02
Mn2 0.0000 0.0000 0.0760  -2.90
Zn1 0.0000 0.0000 0.4359  -0.05

formation energy	0.11	eV/atom

Entry 24:
Compound: LaMn2Zn
Source: the Alexandria database
Functional: PBE
Structure: optimized geometry

Unit cell a=7.2675 b=7.2675 c=5.8201 alpha=51.37 beta=51.37 gamma=90.00
Each line ends with the local moment (μB).
Positions (direct):
La1 0.7500 0.2500 0.5000  -0.01
La2 0.0000 0.0000 0.0000  -0.01
Mn1 0.8750 0.8305 0.7500  -0.04
Mn2 0.5805 0.1250 0.2500  -0.06
Mn3 0.1695 0.6250 0.2500  -0.06
Mn4 0.3750 0.4195 0.7500  -0.05
Zn1 0.2500 0.7500 0.5000  0.00
Zn2 0.5000 0.5000 0.0000  0.00

formation energy	0.96	eV/atom

Entry 25:
Compound: LaMnZn
Source: the Alexandria database
Functional: PBE
Structure: optimized geometry

Unit cell a=4.4598 b=4.4598 c=4.0425 alpha=90.00 beta=90.00 gamma=120.00
Each line ends with the local moment (μB).
Positions (direct):
Mn1 0.6667 0.3333 0.5000  3.45
Zn1 0.3333 0.6667 0.4999  -0.08
La1 0.0000 0.0000 0.0001  -0.22

formation energy	0.01	eV/atom

Entry 26:
Compound: LaMn2Zn
Source: the Alexandria database
Functional: PBE
Structure: optimized geometry

Unit cell a=5.7981 b=5.7981 c=5.7981 alpha=148.12 beta=130.75 gamma=59.87
Each line ends with the local moment (μB).
Positions (direct):
Mn1 0.9612 0.9612 0.0000  3.57
Mn2 0.7558 0.2558 0.5000  -2.88
La1 0.2487 0.7487 0.5000  0.17
Zn1 0.5342 0.5342 0.0000  -0.02

formation energy	0.31	eV/atom

Entry 27:
Compound: LaMnZn4
Source: the Alexandria database
Functional: PBE
Structure: optimized geometry

Unit cell a=5.3641 b=5.3641 c=5.3641 alpha=60.00 beta=60.00 gamma=60.00
Each line ends with the local moment (μB).
Positions (direct):
Zn1 0.3736 0.3736 0.3736  -0.06
Zn2 0.3736 0.8792 0.3736  -0.06
Zn3 0.8792 0.3736 0.3736  -0.06
Zn4 0.3736 0.3736 0.8792  -0.06
La1 0.7500 0.7500 0.7500  -0.14
Mn1 0.0000 0.0000 0.0000  3.55

formation energy	-0.07	eV/atom

Entry 28:
Compound: LaMnZn3
Source: the Alexandria database
Functional: PBE
Structure: optimized geometry

Unit cell a=4.7223 b=4.7223 c=4.7223 alpha=90.00 beta=90.00 gamma=90.00
Each line ends with the local moment (μB).
Positions (direct):
Zn1 0.5000 0.0000 0.0000  -0.05
Zn2 0.0000 0.0000 0.5000  -0.01
Zn3 0.0000 0.5000 0.0000  -0.02
Mn1 0.0000 0.0000 0.0000  2.49
La1 0.5000 0.5000 0.5000  -0.25

formation energy	0.03	eV/atom

Entry 29:
Compound: LaMn3Zn
Source: the Alexandria database
Functional: PBE
Structure: optimized geometry

Unit cell a=4.4491 b=4.4491 c=4.4491 alpha=90.00 beta=90.00 gamma=90.00
Positions (direct):
Mn1 0.5000 0.0000 0.0000
Mn2 0.0000 0.5000 0.0000
Mn3 0.0000 0.0000 0.5000
La1 0.0000 0.0000 0.0000
Zn1 0.5000 0.5000 0.5000

formation energy	2.01	eV/atom

Entry 30:
Compound: LaMnZn
Source: the Alexandria database
Functional: PBE
Structure: optimized geometry

Unit cell a=4.7919 b=4.7919 c=4.7919 alpha=60.00 beta=60.00 gamma=60.00
Each line ends with the local moment (μB).
Positions (direct):
Zn1 0.7500 0.7500 0.7500  0.08
La1 0.0000 0.0000 0.0000  0.13
Mn1 0.5000 0.5000 0.5000  -3.94

formation energy	0.29	eV/atom

Going through the records in order, we get size of the total moment values of 3.10; 1.87; 1.21; 2.78; 0.00; 4.06; 1.56; 3.31; 3.06; 2.91; 2.49; 7.45; 2.89; 3.26; 3.28; 2.89; 3.53; 2.89; 2.90; 3.80; 1.08; 1.10; 0.35; 0.24; 2.93; 1.05; 3.04; 1.70; 0.00; 3.78 Bohr magnetons per cell.
Going through the records in order, we get calculated volume values of 116.36; 57.57; 60.07; 116.50; 100.72; 116.32; 86.44; 116.29; 116.75; 114.86; 113.30; 101.73; 83.45; 116.41; 114.80; 115.27; 114.75; 84.39; 115.28; 203.80; 127.91; 91.89; 73.54; 144.31; 69.63; 77.32; 109.14; 105.31; 88.07; 77.80 Å³ per cell.